The following is a GGA-PBE calculation of CsSmSe after structural relaxation, from Alexandria via LeMat-Bulk.

Structure (POSCAR):
```
CsSmSe
1.0
2.4229 1.3989 13.8625
-2.4229 1.3989 13.8625
0.0000 -2.7977 13.8625
Cs Sm Se
2 2 2
Direct
0.1091 0.1091 0.1091 Cs
0.8909 0.8909 0.8909 Cs
0.3069 0.3069 0.3069 Sm
0.6931 0.6931 0.6931 Sm
0.3796 0.3796 0.3796 Se
0.6204 0.6204 0.6204 Se
```

Values from the calculation:
VASP energy (eV/cell): -23.751
Space-group type: R-3m, No. 166
E_form (uncorrected) (eV per atom): -0.9395
Magnetic moment (μB per formula unit): 0.85